1.
A plane-wave DFT calculation with GGA-PBE was carried out for a relaxed structure of CaMgCu.

```
12
Lattice="6.6269 0.0000 0.0000 0.0000 7.2615 0.0000 0.0000 0.0000 5.7205" Properties=species:S:1:pos:R:3 pbc="T T T"
Ca 0.6415 0.6551 1.4301
Ca 0.6415 2.9757 4.2904
Ca 5.9854 4.2859 1.4301
Ca 5.9854 6.6064 4.2904
Mg 2.7980 0.3866 4.2904
Mg 2.7980 3.2442 1.4301
Mg 3.8289 4.0174 4.2904
Mg 3.8289 6.8749 1.4301
Cu 1.8832 5.4461 0.0000
Cu 1.8832 5.4461 2.8603
Cu 4.7438 1.8154 0.0000
Cu 4.7438 1.8154 2.8603
```

Computed properties:
Space group: No. 57
Raw total energy (eV per atom): -2.6342

2.
A plane-wave DFT calculation with GGA-PBE was carried out for a relaxed structure of CaMg2Cu2.

```
10
Lattice="7.9676 0.0000 0.0000 0.0000 7.9676 0.0000 0.0000 0.0000 3.0185" Properties=species:S:1:pos:R:3 pbc="T T T"
Ca 0.0000 0.0000 0.0000
Ca 3.9838 3.9838 0.0000
Mg 1.0226 2.9612 0.0000
Mg 2.9612 6.9450 0.0000
Mg 5.0064 1.0226 0.0000
Mg 6.9450 5.0064 0.0000
Cu 1.3378 5.3216 1.5092
Cu 2.6459 1.3378 1.5092
Cu 5.3216 6.6297 1.5092
Cu 6.6297 2.6459 1.5092
```

Computed properties:
Space group: No. 127
Energy above the lowest structure with this stoichiometry (meV per atom): 99

3.
A plane-wave DFT calculation with GGA-PBE was carried out for a relaxed structure of CaMg7Cu5.

```
13
Lattice="-2.6744 4.6817 4.7155 2.6744 -4.6817 4.7155 2.6744 4.6817 -4.7155" Properties=species:S:1:pos:R:3 pbc="T T T"
Ca 0.0000 0.0000 0.0000
Mg 2.6744 1.9196 -0.0896
Mg 2.6744 -1.4616 4.4383
Mg 0.0000 0.0000 3.0865
Mg 2.6744 1.4616 4.4383
Mg 0.0000 0.0000 6.1022
Mg 0.0000 4.6817 2.4305
Mg 0.0000 2.7621 4.6259
Cu 2.6744 0.0000 1.9692
Cu 1.3239 2.2893 2.1858
Cu 4.0250 2.2893 2.1858
Cu -1.3506 2.3924 6.9013
Cu 1.3506 2.3924 6.9013
```

Computed properties:
Space group: No. 44
Raw total energy (eV per atom): -2.6824

4.
A plane-wave DFT calculation with GGA-PBE was carried out for a relaxed structure of CaMg2Cu.

```
4
Lattice="0.0000 3.5121 3.5121 3.5121 0.0000 3.5121 3.5121 3.5121 0.0000" Properties=species:S:1:pos:R:3 pbc="T T T"
Ca 0.0000 0.0000 0.0000
Mg 1.7560 1.7560 1.7560
Mg 5.2681 5.2681 5.2681
Cu 3.5121 3.5121 3.5121
```

Computed properties:
Space group: No. 225
Raw total energy (eV per atom): -2.2453

5.
A plane-wave DFT calculation with GGA-PBE was carried out for a relaxed structure of Ca2MgCu.

```
4
Lattice="2.0195 1.1660 8.7432 -2.0195 1.1660 8.7432 0.0000 -2.3319 8.7432" Properties=species:S:1:pos:R:3 pbc="T T T"
Ca 0.0000 0.0000 0.0000
Ca 0.0000 0.0000 5.3943
Mg 0.0000 0.0000 20.0127
Cu 0.0000 0.0000 12.3398
```

Computed properties:
Space group: No. 160
Raw total energy (eV per atom): -2.3638

6.
A plane-wave DFT calculation with GGA-PBE was carried out for a relaxed structure of Ca3Mg2Cu.

```
12
Lattice="4.3351 -6.2215 0.0000 4.3351 6.2215 0.0000 0.0000 0.0000 7.0196" Properties=species:S:1:pos:R:3 pbc="T T T"
Ca 2.4448 3.4860 1.7549
Ca 4.3351 5.5251 5.2647
Ca 6.2255 3.4860 1.7549
Ca 2.4448 -3.4860 5.2647
Ca 4.3351 -5.5251 1.7549
Ca 6.2255 -3.4860 5.2647
Mg 2.8442 0.0000 0.0000
Mg 2.8442 0.0000 3.5098
Mg 5.8261 0.0000 0.0000
Mg 5.8261 0.0000 3.5098
Cu 4.3351 1.3030 1.7549
Cu 4.3351 -1.3030 5.2647
```

Computed properties:
Space group: No. 63
Energy above the lowest structure with this stoichiometry (meV per atom): 115

7.
A plane-wave DFT calculation with GGA-PBE was carried out for a relaxed structure of Ca2MgCu.

```
4
Lattice="3.9199 0.0000 0.0000 0.0000 5.2000 0.0000 0.0000 0.0000 5.2276" Properties=species:S:1:pos:R:3 pbc="T T T"
Ca 0.0000 0.0000 0.0000
Ca 0.0000 2.6000 2.6138
Mg 1.9599 0.0000 2.6138
Cu 1.9599 2.6000 0.0000
```

Computed properties:
Space group: No. 47
Raw total energy (eV per atom): -2.4163

8.
A plane-wave DFT calculation with GGA-PBE was carried out for a relaxed structure of CaMgCu.

```
12
Lattice="5.9126 0.0000 0.0000 0.0000 6.4574 0.0000 -3.0221 0.0000 7.6139" Properties=species:S:1:pos:R:3 pbc="T T T"
Ca 0.0709 0.8942 2.9190
Ca -1.4401 2.3345 6.7259
Ca 4.3307 4.1229 0.8880
Ca 2.8197 5.5632 4.6949
Mg -0.1361 4.0450 4.0350
Mg 1.3749 5.6411 0.2281
Mg 1.5157 0.8163 7.3858
Mg 3.0267 2.4124 3.5788
Cu 1.3738 3.6488 1.9128
Cu -0.1372 6.0373 5.7198
Cu 3.0278 0.4201 1.8941
Cu 1.5168 2.8086 5.7010
```

Computed properties:
Space group: No. 14
Raw total energy (eV per atom): -2.6026

9.
A plane-wave DFT calculation with GGA-PBE was carried out for a relaxed structure of CaMg2Cu.

```
4
Lattice="1.8305 1.0569 8.7376 -1.8305 1.0569 8.7376 0.0000 -2.1137 8.7376" Properties=species:S:1:pos:R:3 pbc="T T T"
Ca 0.0000 0.0000 0.0000
Mg 0.0000 0.0000 5.9444
Mg 0.0000 0.0000 20.2684
Cu 0.0000 0.0000 13.1064
```

Computed properties:
Space group: No. 166
Raw total energy (eV per atom): -2.2013

10.
A plane-wave DFT calculation with GGA-PBE was carried out for a relaxed structure of Ca2MgCu.

```
8
Lattice="-2.3092 2.3092 9.8310 2.3092 -2.3092 9.8310 2.3092 2.3092 -9.8310" Properties=species:S:1:pos:R:3 pbc="T T T"
Ca 2.3092 0.0000 0.0000
Ca 0.0000 0.0000 2.6519
Ca 0.0000 2.3092 0.0000
Ca 0.0000 0.0000 17.0101
Mg 2.3092 0.0000 4.9155
Mg 0.0000 2.3092 4.9155
Cu 0.0000 0.0000 7.1426
Cu 0.0000 0.0000 12.5193
```

Computed properties:
Space group: No. 139
Raw total energy (eV per atom): -2.3080

11.
A plane-wave DFT calculation with GGA-PBE was carried out for a relaxed structure of Ca4MgCu2.

```
7
Lattice="2.6177 1.5113 8.2156 -2.6177 1.5113 8.2156 0.0000 -3.0227 8.2156" Properties=species:S:1:pos:R:3 pbc="T T T"
Ca 0.0000 0.0000 2.8324
Ca 0.0000 0.0000 9.0719
Ca 0.0000 0.0000 15.5750
Ca 0.0000 0.0000 21.8144
Mg 0.0000 0.0000 12.3234
Cu 0.0000 0.0000 5.9882
Cu 0.0000 0.0000 18.6587
```

Computed properties:
Space group: No. 166
Energy above the lowest structure with this stoichiometry (meV per atom): 0

12.
A plane-wave DFT calculation with GGA-PBE was carried out for a relaxed structure of CaMgCu.

```
12
Lattice="3.7987 0.0000 0.0000 0.0000 11.9873 0.0000 0.0000 0.0000 7.2721" Properties=species:S:1:pos:R:3 pbc="T T T"
Ca 0.9497 1.2738 0.9089
Ca 0.9497 4.7198 0.9089
Ca 2.8490 7.2675 6.3632
Ca 2.8490 10.7135 6.3632
Mg 0.9497 1.0058 4.6032
Mg 0.9497 4.9879 4.6032
Mg 2.8490 6.9994 2.6689
Mg 2.8490 10.9815 2.6689
Cu 0.9497 7.8281 4.3404
Cu 0.9497 10.1529 4.3404
Cu 2.8490 1.8344 2.9317
Cu 2.8490 4.1592 2.9317
```

Computed properties:
Space group: No. 59
Raw total energy (eV per atom): -2.3875

13.
A plane-wave DFT calculation with GGA-PBE was carried out for a relaxed structure of Ca2MgCu.

```
4
Lattice="1.9820 1.1443 8.8819 -1.9820 1.1443 8.8819 0.0000 -2.2886 8.8819" Properties=species:S:1:pos:R:3 pbc="T T T"
Ca 0.0000 0.0000 6.2321
Ca 0.0000 0.0000 20.4138
Mg 0.0000 0.0000 0.0000
Cu 0.0000 0.0000 13.3229
```

Computed properties:
Space group: No. 166
Raw total energy (eV per atom): -2.3484

14.
A plane-wave DFT calculation with GGA-PBE was carried out for a relaxed structure of Ca2MgCu.

```
8
Lattice="1.8808 -10.9576 0.0000 1.8808 10.9576 0.0000 0.0000 0.0000 5.8000" Properties=species:S:1:pos:R:3 pbc="T T T"
Ca 1.8808 9.4359 4.3500
Ca 1.8808 6.6391 1.4500
Ca 1.8808 -6.6391 4.3500
Ca 1.8808 -9.4359 1.4500
Mg 1.8808 1.2477 4.3500
Mg 1.8808 -1.2477 1.4500
Cu 1.8808 6.5579 4.3500
Cu 1.8808 -6.5579 1.4500
```

Computed properties:
Space group: No. 63
Raw total energy (eV per atom): -2.3134

15.
A plane-wave DFT calculation with GGA-PBE was carried out for a relaxed structure of Ca7Mg3Cu2.

```
12
Lattice="3.5997 2.0783 9.2476 -3.5997 2.0783 9.2476 0.0000 -4.1566 9.2476" Properties=species:S:1:pos:R:3 pbc="T T T"
Ca 0.0000 0.0000 0.0000
Ca 0.0000 -2.0266 6.5263
Ca -1.7551 1.0133 6.5263
Ca -1.7551 -1.0133 21.2165
Ca 1.7551 1.0133 6.5263
Ca 1.7551 -1.0133 21.2165
Ca 0.0000 2.0266 21.2165
Mg 0.0000 0.0000 10.0128
Mg 0.0000 0.0000 13.8714
Mg 0.0000 0.0000 17.7299
Cu 0.0000 0.0000 4.5589
Cu 0.0000 0.0000 23.1838
```

Computed properties:
Space group: No. 166
Raw total energy (eV per atom): -2.0472

16.
A plane-wave DFT calculation with GGA-PBE was carried out for a relaxed structure of Ca2MgCu2.

```
10
Lattice="-3.8697 5.5059 2.9402 3.8697 -5.5059 2.9402 3.8697 5.5059 -2.9402" Properties=species:S:1:pos:R:3 pbc="T T T"
Ca 1.1159 1.8067 0.0000
Ca 4.9856 3.6991 0.0000
Ca -1.1159 1.8067 2.9402
Ca 2.7538 3.6991 2.9402
Mg 3.8697 0.0000 1.4701
Mg 0.0000 5.5059 1.4701
Cu 5.9327 0.9692 0.0000
Cu 2.0630 4.5367 0.0000
Cu 1.8067 0.9692 2.9402
Cu -2.0630 4.5367 2.9402
```

Computed properties:
Space group: No. 72
Raw total energy (eV per atom): -2.7686

17.
A plane-wave DFT calculation with GGA-PBE was carried out for a relaxed structure of CaMg2Cu.

```
32
Lattice="15.9801 0.0000 0.0000 0.0000 8.1294 0.0000 0.0000 0.0000 5.6754" Properties=species:S:1:pos:R:3 pbc="T T T"
Ca 1.7134 2.0323 1.3546
Ca 2.1908 6.0970 0.2523
Ca 5.7993 2.0323 3.0900
Ca 6.2767 6.0970 4.1923
Ca 9.7035 2.0323 1.4831
Ca 10.1809 6.0970 2.5854
Ca 13.7893 2.0323 5.4231
Ca 14.2667 6.0970 4.3208
Mg 0.6381 0.4688 4.1738
Mg 0.6381 3.5959 4.1738
Mg 3.3927 4.5313 3.0596
Mg 3.3927 7.6627 3.0596
Mg 4.5974 0.4666 0.2219
Mg 4.5974 3.5980 0.2219
Mg 7.3520 4.5335 1.3361
Mg 7.3520 7.6606 1.3361
Mg 8.6282 0.4688 4.3393
Mg 8.6282 3.5959 4.3393
Mg 11.3827 4.5313 5.4535
Mg 11.3827 7.6627 5.4535
Mg 12.5874 0.4666 2.6158
Mg 12.5874 3.5980 2.6158
Mg 15.3420 4.5335 1.5016
Mg 15.3420 7.6606 1.5016
Cu 1.0802 6.0970 3.0646
Cu 2.9694 2.0323 4.2313
Cu 5.0207 6.0970 1.3936
Cu 6.9098 2.0323 0.2269
Cu 9.0703 6.0970 5.4485
Cu 10.9595 2.0323 4.2818
Cu 13.0107 6.0970 1.4441
Cu 14.8999 2.0323 2.6108
```

Computed properties:
Space group: No. 62
Raw total energy (eV per atom): -2.4606

18.
A plane-wave DFT calculation with GGA-PBE was carried out for a relaxed structure of Ca2Mg4Cu.

```
7
Lattice="-2.4677 2.4677 8.4000 2.4677 -2.4677 8.4000 2.4677 2.4677 -8.4000" Properties=species:S:1:pos:R:3 pbc="T T T"
Ca 0.0000 0.0000 2.5866
Ca 0.0000 0.0000 14.2135
Mg 2.4677 0.0000 0.0000
Mg 0.0000 0.0000 5.9116
Mg 0.0000 2.4677 0.0000
Mg 0.0000 0.0000 10.8885
Cu 0.0000 0.0000 8.4000
```

Computed properties:
Space group: No. 139
Energy above the lowest structure with this stoichiometry (meV per atom): 111

19.
A plane-wave DFT calculation with GGA-PBE was carried out for a relaxed structure of CaMg2Cu.

```
8
Lattice="4.6171 0.0000 0.0000 0.0000 6.0327 0.0000 0.0000 0.0000 6.7556" Properties=species:S:1:pos:R:3 pbc="T T T"
Ca 1.1543 1.5082 0.5263
Ca 3.4628 4.5245 6.2293
Mg 1.1543 0.0333 4.2570
Mg 1.1543 2.9830 4.2570
Mg 3.4628 3.0497 2.4986
Mg 3.4628 5.9994 2.4986
Cu 1.1543 4.5245 1.8836
Cu 3.4628 1.5082 4.8720
```

Computed properties:
Space group: No. 59
Raw total energy (eV per atom): -2.3845

20.
A plane-wave DFT calculation with GGA-PBE was carried out for a relaxed structure of Ca3Mg2Cu.

```
12
Lattice="5.4795 0.0000 0.0000 -2.7398 4.7454 0.0000 0.0000 0.0000 12.8580" Properties=species:S:1:pos:R:3 pbc="T T T"
Ca 0.0000 0.0000 0.0000
Ca 0.0000 0.0000 6.4290
Ca 0.0000 3.1636 1.5868
Ca 0.0000 3.1636 4.8422
Ca 2.7398 1.5818 8.0158
Ca 2.7398 1.5818 11.2712
Mg 0.0000 3.1636 8.2248
Mg 0.0000 3.1636 11.0622
Mg 2.7398 1.5818 1.7958
Mg 2.7398 1.5818 4.6332
Cu 0.0000 0.0000 3.2145
Cu 0.0000 0.0000 9.6435
```

Computed properties:
Space group: No. 194
Energy above the lowest structure with this stoichiometry (meV per atom): 135

21.
A plane-wave DFT calculation with GGA-PBE was carried out for a relaxed structure of CaMgCu.

```
3
Lattice="4.9351 0.0000 0.0000 -2.4676 4.2739 0.0000 0.0000 0.0000 3.4133" Properties=species:S:1:pos:R:3 pbc="T T T"
Ca 0.0000 0.0000 0.0000
Mg 2.4676 1.4246 1.7067
Cu 0.0000 2.8493 0.0000
```

Computed properties:
Space group: No. 187
Raw total energy (eV per atom): -2.3461

22.
A plane-wave DFT calculation with GGA-PBE was carried out for a relaxed structure of CaMgCu2Mo.

```
5
Lattice="4.8434 0.0000 0.0000 0.0000 4.8434 0.0000 0.0000 0.0000 5.0820" Properties=species:S:1:pos:R:3 pbc="T T T"
Ca 0.0000 0.0000 0.0000
Mg 2.4217 2.4217 0.0000
Cu 0.0000 2.4217 2.5410
Cu 2.4217 0.0000 2.5410
Mo 0.0000 0.0000 2.5410
```

Computed properties:
Space group: No. 123
Raw total energy (eV per atom): -3.4163

23.
A plane-wave DFT calculation with GGA-PBE was carried out for a relaxed structure of CaMg2CuN.

```
5
Lattice="4.2892 0.0000 0.0000 0.0000 4.2892 0.0000 0.0000 0.0000 4.8039" Properties=species:S:1:pos:R:3 pbc="T T T"
Ca 0.0000 0.0000 0.0000
Mg 0.0000 2.1446 2.4019
Mg 2.1446 0.0000 2.4019
Cu 2.1446 2.1446 0.0000
N 0.0000 0.0000 2.4019
```

Computed properties:
Space group: No. 123
Energy above the lowest structure with this stoichiometry (meV per atom): 0